1.
VASP calculation (GGA-PBE) on a relaxed structure of BaSb2W.

Cell lengths 4.616, 4.616, 10.572 Å; angles 90.00, 90.00, 90.00 degrees
Fractional positions:
1 Ba 0.000 0.000 0.000
2 Ba 0.500 0.500 0.500
3 Sb 0.000 0.000 0.500
4 Sb 0.000 0.500 0.750
5 Sb 0.500 0.000 0.250
6 Sb 0.500 0.500 0.000
7 W 0.000 0.500 0.250
8 W 0.500 0.000 0.750

Computed properties:
Raw formation energy in meV/atom: 715
ρ in g cm⁻³: 8.325
Polymorph energy (0 for the lowest one) in kJ/mol of formula units: 269
Total energy in eV per atom: -5.07
DOS at the Fermi energy in states/eV/cell: 4.76

---

2.
VASP calculation (GGA-PBE) on a relaxed structure of BaSbW.

Cell lengths 3.607, 3.607, 12.718 Å; angles 90.00, 90.00, 90.00 degrees
Fractional positions:
1 Ba 0.000 0.000 0.000
2 Ba 0.500 0.500 0.500
3 Sb 0.000 0.000 0.718
4 Sb 0.500 0.500 0.218
5 W 0.000 0.000 0.305
6 W 0.500 0.500 0.805

Computed properties:
Raw formation energy in meV/atom: 454
ρ in g cm⁻³: 8.889
Polymorph energy (0 for the lowest one) in kJ/mol of formula units: 0
Total energy in eV per atom: -5.88
DOS at the Fermi energy in states/eV/cell: 2.96

---

3.
VASP calculation (GGA-PBE) on a relaxed structure of Ba2SbW.

Cell lengths 5.035, 5.035, 10.844 Å; angles 90.00, 90.00, 90.00 degrees
Fractional positions:
1 Ba 0.000 0.000 0.000
2 Ba 0.000 0.500 0.250
3 Ba 0.500 0.000 0.750
4 Ba 0.500 0.500 0.500
5 Sb 0.000 0.500 0.750
6 Sb 0.500 0.000 0.250
7 W 0.000 0.000 0.500
8 W 0.500 0.500 0.000

Computed properties:
Raw formation energy in meV/atom: 726
ρ in g cm⁻³: 7.010
Total energy in eV per atom: -4.50
DOS at the Fermi energy in states/eV/cell: 7.50

---

- Among the records above, which one has the highest total energy?
  Ba2SbW